[1]
# PBEsol TeMoBr2, optimized geometry
data_TeMoBr2
_chemical_formula_sum 'Te4 Mo4 Br8'
_cell_length_a 8.993
_cell_length_b 8.993
_cell_length_c 5.206
_cell_angle_alpha 90.00
_cell_angle_beta 90.00
_cell_angle_gamma 90.00
_space_group_name_H-M_alt 'I -4 2 d'
_space_group_IT_number 122
_space_group_name_Hall 'I -4 2bw'
loop_
_atom_site_label
_atom_site_type_symbol
_atom_site_fract_x
_atom_site_fract_y
_atom_site_fract_z
_atom_site_occupancy
Te1 Te 0.000 0.000 0.000 1
Mo1 Mo 0.000 0.000 0.500 1
Br1 Br 0.124 0.750 0.625 1
# formation energy (no corrections)	93	meV/atom
# crystal system	tetragonal
# distance to the lowest polymorph of the same formula	0	meV per atom
# N(E_F)	13.85	states/eV per cell


[2]
# PBEsol Tl2ReRu, optimized geometry
data_Tl2ReRu
_chemical_formula_sum 'Tl4 Re2 Ru2'
_cell_length_a 3.024
_cell_length_b 5.132
_cell_length_c 9.253
_cell_angle_alpha 90.00
_cell_angle_beta 90.00
_cell_angle_gamma 90.00
_space_group_name_H-M_alt 'I m m m'
_space_group_IT_number 71
_space_group_name_Hall '-I 2 2'
loop_
_atom_site_label
_atom_site_type_symbol
_atom_site_fract_x
_atom_site_fract_y
_atom_site_fract_z
_atom_site_occupancy
Tl1 Tl 0.000 0.000 0.244 1
Re1 Re 0.000 0.500 0.000 1
Ru1 Ru 0.000 0.500 0.500 1
# crystal system	orthorhombic
# distance to the lowest polymorph of the same formula	76	meV per atom
# N(E_F)	8.71	states/eV per cell


[3]
# PBEsol YScTl2, optimized geometry
data_YScTl2
_chemical_formula_sum 'Y2 Sc2 Tl4'
_cell_length_a 4.817
_cell_length_b 4.817
_cell_length_c 8.281
_cell_angle_alpha 90.00
_cell_angle_beta 90.00
_cell_angle_gamma 90.00
_space_group_name_H-M_alt 'I 4/m m m'
_space_group_IT_number 139
_space_group_name_Hall '-I 4 2'
loop_
_atom_site_label
_atom_site_type_symbol
_atom_site_fract_x
_atom_site_fract_y
_atom_site_fract_z
_atom_site_occupancy
Y1 Y 0.000 0.000 0.000 1
Sc1 Sc 0.000 0.000 0.500 1
Tl1 Tl 0.000 0.500 0.250 1
# crystal system	tetragonal
# N(E_F)	7.10	states/eV per cell


[4]
# PBEsol MoHIr2, optimized geometry
data_MoHIr2
_chemical_formula_sum 'Mo4 H4 Ir8'
_cell_length_a 5.889
_cell_length_b 5.889
_cell_length_c 5.889
_cell_angle_alpha 90.00
_cell_angle_beta 90.00
_cell_angle_gamma 90.00
_space_group_name_H-M_alt 'F m -3 m'
_space_group_IT_number 225
_space_group_name_Hall '-F 4 2 3'
loop_
_atom_site_label
_atom_site_type_symbol
_atom_site_fract_x
_atom_site_fract_y
_atom_site_fract_z
_atom_site_occupancy
Mo1 Mo 0.000 0.000 0.000 1
H1 H 0.000 0.000 0.500 1
Ir1 Ir 0.250 0.250 0.250 1
# crystal system	cubic
# N(E_F)	16.64	states/eV per cell


[5]
# PBEsol ScCrRu2, optimized geometry
data_ScCrRu2
_chemical_formula_sum 'Sc1 Cr1 Ru2'
_cell_length_a 3.023
_cell_length_b 3.023
_cell_length_c 6.214
_cell_angle_alpha 90.00
_cell_angle_beta 90.00
_cell_angle_gamma 90.00
_space_group_name_H-M_alt 'P 4/m m m'
_space_group_IT_number 123
_space_group_name_Hall '-P 4 2'
loop_
_atom_site_label
_atom_site_type_symbol
_atom_site_fract_x
_atom_site_fract_y
_atom_site_fract_z
_atom_site_occupancy
Sc1 Sc 0.000 0.000 0.000 1
Cr1 Cr 0.000 0.000 0.500 1
Ru1 Ru 0.500 0.500 0.274 1
# crystal system	tetragonal
# N(E_F)	3.99	states/eV per cell


[6]
# PBEsol Ta5Mo3, optimized geometry
data_Ta5Mo3
_chemical_formula_sum 'Ta10 Mo6'
_cell_length_a 4.487
_cell_length_b 4.609
_cell_length_c 12.852
_cell_angle_alpha 90.00
_cell_angle_beta 90.00
_cell_angle_gamma 90.00
_space_group_name_H-M_alt 'I m m m'
_space_group_IT_number 71
_space_group_name_Hall '-I 2 2'
loop_
_atom_site_label
_atom_site_type_symbol
_atom_site_fract_x
_atom_site_fract_y
_atom_site_fract_z
_atom_site_occupancy
Ta1 Ta 0.000 0.000 0.000 1
Ta2 Ta 0.000 0.000 0.248 1
Ta3 Ta 0.000 0.500 0.121 1
Mo1 Mo 0.000 0.000 0.500 1
Mo2 Mo 0.000 0.500 0.374 1
# crystal system	orthorhombic
# distance to the lowest polymorph of the same formula	37	meV per atom
# N(E_F)	13.99	states/eV per cell


[7]
# PBEsol Sc2SbO2, optimized geometry
data_Sc2SbO2
_chemical_formula_sum 'Sc4 Sb2 O4'
_cell_length_a 3.604
_cell_length_b 3.604
_cell_length_c 12.461
_cell_angle_alpha 90.00
_cell_angle_beta 90.00
_cell_angle_gamma 90.00
_space_group_name_H-M_alt 'I 4/m m m'
_space_group_IT_number 139
_space_group_name_Hall '-I 4 2'
loop_
_atom_site_label
_atom_site_type_symbol
_atom_site_fract_x
_atom_site_fract_y
_atom_site_fract_z
_atom_site_occupancy
Sc1 Sc 0.000 0.000 0.169 1
Sb1 Sb 0.000 0.000 0.500 1
O1 O 0.000 0.500 0.250 1
# formation energy (no corrections)	-2625	meV/atom
# crystal system	tetragonal
# N(E_F)	1.13	states/eV per cell


[8]
# PBEsol Li5Nb2V3O10, optimized geometry
data_Li5Nb2V3O10
_chemical_formula_sum 'Li5 Nb2 V3 O10'
_cell_length_a 4.988
_cell_length_b 5.195
_cell_length_c 7.633
_cell_angle_alpha 102.41
_cell_angle_beta 108.51
_cell_angle_gamma 98.93
_space_group_name_H-M_alt 'P -1'
_space_group_IT_number 2
_space_group_name_Hall '-P 1'
loop_
_atom_site_label
_atom_site_type_symbol
_atom_site_fract_x
_atom_site_fract_y
_atom_site_fract_z
_atom_site_occupancy
Li1 Li 0.000 0.000 0.000 1
Li2 Li 0.193 0.495 0.912 1
Li3 Li 0.367 0.477 0.277 1
Nb1 Nb 0.408 0.996 0.782 1
V1 V 0.000 0.500 0.500 1
V2 V 0.252 0.003 0.406 1
O1 O 0.013 0.236 0.264 1
O2 O 0.173 0.237 0.639 1
O3 O 0.203 0.748 0.157 1
O4 O 0.388 0.712 0.528 1
O5 O 0.415 0.237 0.052 1
# formation energy (no corrections)	-2259	meV/atom
# crystal system	triclinic
# N(E_F)	4.08	states/eV per cell


[9]
# PBEsol ScMnCl2, optimized geometry
data_ScMnCl2
_chemical_formula_sum 'Sc2 Mn2 Cl4'
_cell_length_a 3.237
_cell_length_b 5.701
_cell_length_c 9.000
_cell_angle_alpha 90.00
_cell_angle_beta 90.00
_cell_angle_gamma 90.00
_space_group_name_H-M_alt 'C m m m'
_space_group_IT_number 65
_space_group_name_Hall '-C 2 2'
loop_
_atom_site_label
_atom_site_type_symbol
_atom_site_fract_x
_atom_site_fract_y
_atom_site_fract_z
_atom_site_occupancy
Sc1 Sc 0.000 0.000 0.000 1
Mn1 Mn 0.000 0.000 0.500 1
Cl1 Cl 0.000 0.500 0.214 1
# formation energy (no corrections)	-517	meV/atom
# crystal system	orthorhombic
# distance to the lowest polymorph of the same formula	154	meV per atom
# N(E_F)	5.42	states/eV per cell


[10]
# PBEsol LiV3O8, optimized geometry
data_LiV3O8
_chemical_formula_sum 'Li2 V6 O16'
_cell_length_a 12.248
_cell_length_b 3.413
_cell_length_c 7.151
_cell_angle_alpha 90.00
_cell_angle_beta 109.88
_cell_angle_gamma 90.00
_space_group_name_H-M_alt 'C 1 m 1'
_space_group_IT_number 8
_space_group_name_Hall 'C -2y'
loop_
_atom_site_label
_atom_site_type_symbol
_atom_site_fract_x
_atom_site_fract_y
_atom_site_fract_z
_atom_site_occupancy
Li1 Li 0.000 0.000 0.000 1
V1 V 0.116 0.500 0.394 1
V2 V 0.217 0.500 0.950 1
V3 V 0.415 0.500 0.476 1
O1 O 0.055 0.500 0.151 1
O2 O 0.081 0.000 0.446 1
O3 O 0.171 0.000 0.994 1
O4 O 0.193 0.500 0.707 1
O5 O 0.261 0.500 0.391 1
O6 O 0.358 0.500 0.063 1
O7 O 0.440 0.000 0.414 1
O8 O 0.447 0.500 0.712 1
# formation energy (no corrections)	-2238	meV/atom
# crystal system	monoclinic
# distance to the lowest polymorph of the same formula	73	meV per atom


[11]
# PBEsol MgCd2Hg2, optimized geometry
data_MgCd2Hg2
_chemical_formula_sum 'Mg2 Cd4 Hg4'
_cell_length_a 7.649
_cell_length_b 7.649
_cell_length_c 3.887
_cell_angle_alpha 90.00
_cell_angle_beta 90.00
_cell_angle_gamma 90.00
_space_group_name_H-M_alt 'P 4/m b m'
_space_group_IT_number 127
_space_group_name_Hall '-P 4 2ab'
loop_
_atom_site_label
_atom_site_type_symbol
_atom_site_fract_x
_atom_site_fract_y
_atom_site_fract_z
_atom_site_occupancy
Mg1 Mg 0.000 0.000 0.000 1
Cd1 Cd 0.153 0.347 0.500 1
Hg1 Hg 0.148 0.648 0.000 1
# crystal system	tetragonal
# N(E_F)	3.78	states/eV per cell


[12]
# PBEsol LiP3, optimized geometry
data_LiP3
_chemical_formula_sum 'Li1 P3'
_cell_length_a 3.804
_cell_length_b 3.804
_cell_length_c 3.804
_cell_angle_alpha 90.00
_cell_angle_beta 90.00
_cell_angle_gamma 90.00
_space_group_name_H-M_alt 'P m -3 m'
_space_group_IT_number 221
_space_group_name_Hall '-P 4 2 3'
loop_
_atom_site_label
_atom_site_type_symbol
_atom_site_fract_x
_atom_site_fract_y
_atom_site_fract_z
_atom_site_occupancy
Li1 Li 0.000 0.000 0.000 1
P1 P 0.000 0.500 0.500 1
# crystal system	cubic
# distance to the lowest polymorph of the same formula	110	meV per atom
# N(E_F)	1.57	states/eV per cell


[13]
# PBEsol RbCaCl3, optimized geometry
data_RbCaCl3
_chemical_formula_sum 'Rb6 Ca6 Cl18'
_cell_length_a 7.5303
_cell_length_b 7.5303
_cell_length_c 18.0666
_cell_angle_alpha 90.00
_cell_angle_beta 90.00
_cell_angle_gamma 120.00
_space_group_name_H-M_alt 'R -3 c'
_space_group_IT_number 167
_space_group_name_Hall '-R 3 2"c'
loop_
_atom_site_label
_atom_site_type_symbol
_atom_site_fract_x
_atom_site_fract_y
_atom_site_fract_z
_atom_site_occupancy
Rb1 Rb 0.0000 0.0000 0.2500 1
Ca1 Ca 0.0000 0.0000 0.0000 1
Cl1 Cl 0.0000 0.4360 0.2500 1
# formation energy (no corrections)	-2242	meV/atom
# crystal system	trigonal
# N(E_F)	0.00	states/eV per cell


[14]
# PBEsol K2CoP, optimized geometry
data_K2CoP
_chemical_formula_sum 'K2 Co1 P1'
_cell_length_a 4.365
_cell_length_b 4.365
_cell_length_c 5.007
_cell_angle_alpha 90.00
_cell_angle_beta 90.00
_cell_angle_gamma 90.00
_space_group_name_H-M_alt 'P 4/m m m'
_space_group_IT_number 123
_space_group_name_Hall '-P 4 2'
loop_
_atom_site_label
_atom_site_type_symbol
_atom_site_fract_x
_atom_site_fract_y
_atom_site_fract_z
_atom_site_occupancy
K1 K 0.000 0.000 0.249 1
Co1 Co 0.500 0.500 0.500 1
P1 P 0.500 0.500 0.000 1
# crystal system	tetragonal
# N(E_F)	3.80	states/eV per cell


[15]
# PBEsol CsBi3Se, optimized geometry
data_CsBi3Se
_chemical_formula_sum 'Cs1 Bi3 Se1'
_cell_length_a 5.697
_cell_length_b 5.697
_cell_length_c 5.697
_cell_angle_alpha 90.00
_cell_angle_beta 90.00
_cell_angle_gamma 90.00
_space_group_name_H-M_alt 'P m -3 m'
_space_group_IT_number 221
_space_group_name_Hall '-P 4 2 3'
loop_
_atom_site_label
_atom_site_type_symbol
_atom_site_fract_x
_atom_site_fract_y
_atom_site_fract_z
_atom_site_occupancy
Cs1 Cs 0.000 0.000 0.000 1
Bi1 Bi 0.000 0.500 0.500 1
Se1 Se 0.500 0.500 0.500 1
# formation energy (no corrections)	148	meV/atom
# crystal system	cubic
# N(E_F)	7.12	states/eV per cell


[16]
# PBEsol K3Tl, optimized geometry
data_K3Tl
_chemical_formula_sum 'K6 Tl2'
_cell_length_a 5.175
_cell_length_b 6.019
_cell_length_c 11.859
_cell_angle_alpha 90.00
_cell_angle_beta 90.00
_cell_angle_gamma 90.00
_space_group_name_H-M_alt 'I m m m'
_space_group_IT_number 71
_space_group_name_Hall '-I 2 2'
loop_
_atom_site_label
_atom_site_type_symbol
_atom_site_fract_x
_atom_site_fract_y
_atom_site_fract_z
_atom_site_occupancy
K1 K 0.000 0.000 0.000 1
K2 K 0.000 0.500 0.232 1
Tl1 Tl 0.000 0.000 0.500 1
# crystal system	orthorhombic
# N(E_F)	8.24	states/eV per cell


[17]
# PBEsol Rb2CaH, optimized geometry
data_Rb2CaH
_chemical_formula_sum 'Rb8 Ca4 H4'
_cell_length_a 9.246
_cell_length_b 9.246
_cell_length_c 9.246
_cell_angle_alpha 90.00
_cell_angle_beta 90.00
_cell_angle_gamma 90.00
_space_group_name_H-M_alt 'F m -3 m'
_space_group_IT_number 225
_space_group_name_Hall '-F 4 2 3'
loop_
_atom_site_label
_atom_site_type_symbol
_atom_site_fract_x
_atom_site_fract_y
_atom_site_fract_z
_atom_site_occupancy
Rb1 Rb 0.250 0.250 0.250 1
Ca1 Ca 0.000 0.000 0.000 1
H1 H 0.000 0.000 0.500 1
# crystal system	cubic
# N(E_F)	12.16	states/eV per cell


[18]
# PBEsol LiNbP2O8, optimized geometry
data_LiNbP2O8
_chemical_formula_sum 'Li2 Nb2 P4 O16'
_cell_length_a 5.265
_cell_length_b 8.161
_cell_length_c 7.172
_cell_angle_alpha 90.00
_cell_angle_beta 90.00
_cell_angle_gamma 90.00
_space_group_name_H-M_alt 'P m n 21'
_space_group_IT_number 31
_space_group_name_Hall 'P 2ac -2'
loop_
_atom_site_label
_atom_site_type_symbol
_atom_site_fract_x
_atom_site_fract_y
_atom_site_fract_z
_atom_site_occupancy
Li1 Li 0.000 0.219 0.000 1
Nb1 Nb 0.000 0.250 0.414 1
P1 P 0.000 0.552 0.089 1
P2 P 0.000 0.929 0.713 1
O1 O 0.000 0.031 0.527 1
O2 O 0.000 0.034 0.880 1
O3 O 0.000 0.434 0.932 1
O4 O 0.000 0.469 0.283 1
O5 O 0.233 0.673 0.079 1
O6 O 0.241 0.816 0.710 1
# formation energy (no corrections)	-2322	meV/atom
# crystal system	orthorhombic
# N(E_F)	0.00	states/eV per cell


[19]
# PBEsol Cr2RhPb, optimized geometry
data_Cr2RhPb
_chemical_formula_sum 'Cr4 Rh2 Pb2'
_cell_length_a 3.745
_cell_length_b 3.745
_cell_length_c 8.298
_cell_angle_alpha 90.00
_cell_angle_beta 90.00
_cell_angle_gamma 90.00
_space_group_name_H-M_alt 'I 4/m m m'
_space_group_IT_number 139
_space_group_name_Hall '-I 4 2'
loop_
_atom_site_label
_atom_site_type_symbol
_atom_site_fract_x
_atom_site_fract_y
_atom_site_fract_z
_atom_site_occupancy
Cr1 Cr 0.000 0.500 0.250 1
Rh1 Rh 0.000 0.000 0.000 1
Pb1 Pb 0.000 0.000 0.500 1
# crystal system	tetragonal
# N(E_F)	8.46	states/eV per cell


[20]
# PBEsol LiPb5, optimized geometry
data_LiPb5
_chemical_formula_sum 'Li2 Pb10'
_cell_length_a 5.516
_cell_length_b 3.572
_cell_length_c 17.152
_cell_angle_alpha 90.00
_cell_angle_beta 90.00
_cell_angle_gamma 90.00
_space_group_name_H-M_alt 'A m m 2'
_space_group_IT_number 38
_space_group_name_Hall 'A 2 -2'
loop_
_atom_site_label
_atom_site_type_symbol
_atom_site_fract_x
_atom_site_fract_y
_atom_site_fract_z
_atom_site_occupancy
Li1 Li 0.000 0.000 0.000 1
Pb1 Pb 0.000 0.000 0.342 1
Pb2 Pb 0.000 0.000 0.665 1
Pb3 Pb 0.500 0.000 0.115 1
Pb4 Pb 0.500 0.000 0.454 1
Pb5 Pb 0.500 0.000 0.785 1
# crystal system	orthorhombic
# distance to the lowest polymorph of the same formula	6	meV per atom
# N(E_F)	5.07	states/eV per cell


What did we get for DFT total energy? Answer: -4.67, -6.18, -5.07, -8.12, -9.43, -12.35, -8.28, -7.90, -5.61, -8.31, -1.09, -4.67, -4.08, -3.28, -3.38, -1.47, -1.30, -7.85, -7.64, -3.71 eV per atom, in the order shown.
What did we get for density? Answer: 6.0, 16.1, 9.4, 15.7, 8.7, 14.9, 5.0, 5.0, 3.4, 3.4, 9.5, 3.0, 2.6, 2.9, 7.5, 2.9, 1.8, 3.1, 11.8, 10.3 g cm⁻³, in the order shown.